DFT (GGA-PBE) results for a geometry-optimized TiZnNi5 structure.

Unit cell a=4.594 b=4.594 c=8.716 alpha=75.64 beta=75.64 gamma=97.35
Atoms (fractional coordinates):
Zn1 0.000 0.000 0.000
Zn2 0.000 0.000 0.500
Ni1 0.544 0.233 0.542
Ni2 0.601 0.990 0.850
Ni3 0.767 0.456 0.958
Ni4 0.990 0.601 0.350
Ni5 0.233 0.544 0.042
Ni6 0.136 0.864 0.750
Ni7 0.399 0.010 0.150
Ni8 0.864 0.136 0.250
Ni9 0.010 0.399 0.650
Ni10 0.456 0.767 0.458
Ti1 0.484 0.516 0.750
Ti2 0.516 0.484 0.250

- Final energy: -5.64 eV/atom
- ΔH_f (0 K): -4.53 kcal/mol of atoms